This record from Alexandria describes a relaxed Li2LaPuCl8 crystal. The functional is GGA-PBE.

Summary:
Its formation energy without anion corrections is -1982 meV/atom. Its energy is -61.6 eV/f.u.

abc: 6.262 6.328 8.442
angles: 90.00 90.00 91.86
Atoms (fractional coordinates):
Li: 0.001 0.001 0.249
Li: 0.999 0.999 0.751
La: 0.500 0.500 0.000
Pu: 0.500 0.500 0.500
Cl: 0.197 0.177 0.000
Cl: 0.203 0.185 0.500
Cl: 0.287 0.691 0.255
Cl: 0.287 0.691 0.745
Cl: 0.713 0.309 0.255
Cl: 0.713 0.309 0.745
Cl: 0.797 0.815 0.500
Cl: 0.803 0.823 0.000

---

This record from Alexandria describes a relaxed RbLi2LaCl6 crystal. The functional is GGA-PBE.

Summary:
Its formation energy without anion corrections is -2048 meV/atom. Its energy is -41.3 eV/f.u.

abc: 7.489 7.489 7.489
angles: 56.19 56.19 56.19
Atoms (fractional coordinates):
Rb: 0.000 0.000 0.000
Li: 0.226 0.226 0.226
Li: 0.734 0.734 0.734
La: 0.526 0.526 0.526
Cl: 0.098 0.834 0.475
Cl: 0.410 0.524 0.955
Cl: 0.475 0.098 0.834
Cl: 0.524 0.955 0.410
Cl: 0.834 0.475 0.098
Cl: 0.955 0.410 0.524

---

This record from Alexandria describes a relaxed Rb2LiLaCl6 crystal. The functional is GGA-PBE.

Summary:
Its formation energy without anion corrections is -2106 meV/atom. Its energy is -40.9 eV/f.u.

abc: 7.581 7.581 7.581
angles: 60.00 60.00 60.00
Atoms (fractional coordinates):
Rb: 0.250 0.250 0.250
Rb: 0.750 0.750 0.750
Li: 0.000 0.000 0.000
La: 0.500 0.500 0.500
Cl: 0.242 0.242 0.758
Cl: 0.242 0.758 0.242
Cl: 0.242 0.758 0.758
Cl: 0.758 0.242 0.242
Cl: 0.758 0.242 0.758
Cl: 0.758 0.758 0.242

---

This record from Alexandria describes a relaxed RbLiLaCl5 crystal. The functional is GGA-PBE.

Summary:
Its formation energy without anion corrections is -2145 meV/atom. Its energy is -34.2 eV/f.u.

abc: 7.733 7.733 10.470
angles: 103.75 103.75 107.08
Atoms (fractional coordinates):
Rb: 0.153 0.847 0.750
Rb: 0.847 0.153 0.250
Li: 0.190 0.810 0.250
Li: 0.810 0.190 0.750
La: 0.500 0.500 0.000
La: 0.500 0.500 0.500
Cl: 0.119 0.254 0.917
Cl: 0.192 0.596 0.385
Cl: 0.254 0.119 0.417
Cl: 0.404 0.808 0.115
Cl: 0.417 0.583 0.750
Cl: 0.583 0.417 0.250
Cl: 0.596 0.192 0.885
Cl: 0.746 0.881 0.583
Cl: 0.808 0.404 0.615
Cl: 0.881 0.746 0.083

---

This record from Alexandria describes a relaxed LiLa2ReCl crystal. The functional is GGA-PBE.

Summary:
Its formation energy without anion corrections is 176 meV/atom. Its energy is -25.2 eV/f.u.

abc: 5.551 5.551 4.380
angles: 90.00 90.00 90.00
Atoms (fractional coordinates):
Li: 0.000 0.000 0.000
La: 0.000 0.500 0.500
La: 0.500 0.000 0.500
Re: 0.500 0.500 0.000
Cl: 0.500 0.500 0.500

---

This record from Alexandria describes a relaxed Li2LaScCl8 crystal. The functional is GGA-PBE.

Summary:
Its formation energy without anion corrections is -2054 meV/atom. Its energy is -54.5 eV/f.u.

abc: 6.248 8.011 6.307
angles: 90.00 93.75 90.00
Atoms (fractional coordinates):
Li: 0.000 0.237 0.000
Li: 0.000 0.763 0.000
La: 0.500 0.500 0.500
Sc: 0.500 0.000 0.500
Cl: 0.192 0.500 0.175
Cl: 0.214 0.000 0.203
Cl: 0.300 0.225 0.686
Cl: 0.300 0.775 0.686
Cl: 0.700 0.225 0.314
Cl: 0.700 0.775 0.314
Cl: 0.786 0.000 0.797
Cl: 0.808 0.500 0.825

---

This record from Alexandria describes a relaxed LiLaSeCl crystal. The functional is GGA-PBE.

Summary:
Its formation energy without anion corrections is -1700 meV/atom. Its energy is -19.0 eV/f.u.

abc: 14.273 14.273 14.273
angles: 16.76 16.76 16.76
Atoms (fractional coordinates):
Li: 0.189 0.189 0.189
Li: 0.811 0.811 0.811
La: 0.414 0.414 0.414
La: 0.586 0.586 0.586
Se: 0.126 0.126 0.126
Se: 0.874 0.874 0.874
Cl: 0.293 0.293 0.293
Cl: 0.707 0.707 0.707

---

This record from Alexandria describes a relaxed LiLa3Se2Cl6 crystal. The functional is GGA-PBE.

Summary:
Its formation energy without anion corrections is -2107 meV/atom. Its energy is -60.0 eV/f.u.

abc: 8.227 8.227 6.321
angles: 90.85 90.85 63.08
Atoms (fractional coordinates):
Li: 0.000 0.000 0.000
La: 0.000 0.500 0.000
La: 0.500 0.000 0.000
La: 0.500 0.500 0.500
Se: 0.322 0.322 0.735
Se: 0.678 0.678 0.265
Cl: 0.152 0.152 0.204
Cl: 0.176 0.672 0.242
Cl: 0.328 0.824 0.758
Cl: 0.672 0.176 0.242
Cl: 0.824 0.328 0.758
Cl: 0.848 0.848 0.796

---

This record from Alexandria describes a relaxed Li2LaTmCl8 crystal. The functional is GGA-PBE.

Summary:
Its formation energy without anion corrections is -2115 meV/atom. Its energy is -53.4 eV/f.u.

abc: 6.312 6.345 8.178
angles: 90.04 90.02 93.72
Atoms (fractional coordinates):
Li: 0.000 0.000 0.236
Li: 0.000 0.000 0.764
La: 0.500 0.500 0.500
Tm: 0.500 0.500 0.000
Cl: 0.189 0.181 0.500
Cl: 0.203 0.197 0.000
Cl: 0.300 0.691 0.766
Cl: 0.300 0.692 0.234
Cl: 0.700 0.308 0.766
Cl: 0.700 0.309 0.234
Cl: 0.797 0.803 0.000
Cl: 0.811 0.819 0.500

---

This record from Alexandria describes a relaxed LiLa2VCl crystal. The functional is GGA-PBE.

Summary:
Its formation energy without anion corrections is 308 meV/atom. Its energy is -21.2 eV/f.u.

abc: 5.790 5.790 4.064
angles: 90.00 90.00 90.00
Atoms (fractional coordinates):
Li: 0.000 0.000 0.000
La: 0.000 0.500 0.000
La: 0.500 0.000 0.000
V: 0.500 0.500 0.500
Cl: 0.000 0.000 0.500

---

This record from Alexandria describes a relaxed LiLa2ZnCl crystal. The functional is GGA-PBE.

Summary:
Its formation energy without anion corrections is -264 meV/atom. Its energy is -16.2 eV/f.u.

abc: 5.480 5.480 5.129
angles: 90.00 90.00 90.00
Atoms (fractional coordinates):
Li: 0.000 0.000 0.000
La: 0.000 0.500 0.500
La: 0.500 0.000 0.500
Zn: 0.500 0.500 0.000
Cl: 0.500 0.500 0.500

---

This record from Alexandria describes a relaxed LaMg2Cl crystal. The functional is GGA-PBE.

Summary:
Its formation energy without anion corrections is -610 meV/atom. Its energy is -12.4 eV/f.u. For the energy above the most stable polymorph in this dataset, the calculation gives 0 meV per atom.

abc: 3.541 3.541 9.458
angles: 90.00 90.00 90.00
Atoms (fractional coordinates):
La: 0.000 0.000 0.000
Mg: 0.000 0.000 0.455
Mg: 0.500 0.500 0.267
Cl: 0.500 0.500 0.824

---

This record from Alexandria describes a relaxed LaMg2Cl crystal. The functional is GGA-PBE.

Summary:
Its formation energy without anion corrections is -397 meV/atom. Its energy is -11.6 eV/f.u. For the energy above the most stable polymorph in this dataset, the calculation gives 213 meV per atom.

abc: 5.640 5.640 5.640
angles: 128.43 128.43 75.93
Atoms (fractional coordinates):
La: 0.000 0.000 0.000
Mg: 0.250 0.750 0.500
Mg: 0.500 0.500 0.000
Cl: 0.750 0.250 0.500

---

This record from Alexandria describes a relaxed LaMg2Cl crystal. The functional is GGA-PBE.

Summary:
Its formation energy without anion corrections is -541 meV/atom. Its energy is -12.1 eV/f.u. For the energy above the most stable polymorph in this dataset, the calculation gives 70 meV per atom.

abc: 3.446 3.446 9.905
angles: 90.00 90.00 116.34
Atoms (fractional coordinates):
La: 0.000 0.000 0.000
Mg: 0.000 0.000 0.458
Mg: 0.500 0.500 0.709
Cl: 0.500 0.500 0.250

---

This record from Alexandria describes a relaxed La2MgCl crystal. The functional is GGA-PBE.

Summary:
Its formation energy without anion corrections is -404 meV/atom. Its energy is -14.9 eV/f.u. For the energy above the most stable polymorph in this dataset, the calculation gives 323 meV per atom.

abc: 3.677 5.283 6.371
angles: 90.00 90.00 90.00
Atoms (fractional coordinates):
La: 0.000 0.000 0.000
La: 0.500 0.000 0.500
Mg: 0.000 0.500 0.500
Cl: 0.500 0.500 0.000

---

This record from Alexandria describes a relaxed LaMg2Cl crystal. The functional is GGA-PBE.

Summary:
Its formation energy without anion corrections is -457 meV/atom. Its energy is -11.8 eV/f.u. For the energy above the most stable polymorph in this dataset, the calculation gives 154 meV per atom.

abc: 6.424 6.424 6.424
angles: 147.55 125.17 65.17
Atoms (fractional coordinates):
La: 0.000 0.000 0.000
Mg: 0.284 0.784 0.500
Mg: 0.562 0.562 0.000
Cl: 0.787 0.287 0.500

---

This record from Alexandria describes a relaxed LaMg2Cl crystal. The functional is GGA-PBE.

Summary:
Its formation energy without anion corrections is -409 meV/atom. Its energy is -11.6 eV/f.u. For the energy above the most stable polymorph in this dataset, the calculation gives 202 meV per atom.

abc: 6.904 6.904 6.904
angles: 100.25 100.25 130.09
Atoms (fractional coordinates):
La: 0.000 0.000 0.000
La: 0.750 0.250 0.500
Mg: 0.171 0.125 0.546
Mg: 0.375 0.829 0.954
Mg: 0.579 0.625 0.454
Mg: 0.875 0.421 0.046
Cl: 0.250 0.750 0.500
Cl: 0.500 0.500 0.000

---

This record from Alexandria describes a relaxed La2MgCl crystal. The functional is GGA-PBE.

Summary:
Its formation energy without anion corrections is -538 meV/atom. Its energy is -15.4 eV/f.u. For the energy above the most stable polymorph in this dataset, the calculation gives 189 meV per atom.

abc: 6.688 6.688 6.688
angles: 148.93 124.72 64.78
Atoms (fractional coordinates):
La: 0.210 0.210 0.000
La: 0.790 0.790 0.000
Mg: 0.500 0.000 0.500
Cl: 0.000 0.500 0.500

---

This record from Alexandria describes a relaxed LaMg2Cl crystal. The functional is GGA-PBE.

Summary:
Its formation energy without anion corrections is -426 meV/atom. Its energy is -11.7 eV/f.u. For the energy above the most stable polymorph in this dataset, the calculation gives 185 meV per atom.

abc: 3.599 5.699 5.760
angles: 90.00 90.00 90.00
Atoms (fractional coordinates):
La: 0.000 0.000 0.000
Mg: 0.500 0.500 0.246
Mg: 0.500 0.500 0.754
Cl: 0.000 0.000 0.500

---

This record from Alexandria describes a relaxed LaMg2Cl crystal. The functional is GGA-PBE.

Summary:
Its formation energy without anion corrections is -590 meV/atom. Its energy is -12.3 eV/f.u. For the energy above the most stable polymorph in this dataset, the calculation gives 20 meV per atom.

abc: 6.808 6.808 4.917
angles: 110.91 110.91 29.86
Atoms (fractional coordinates):
La: 0.000 0.000 0.000
Mg: 0.247 0.247 0.747
Mg: 0.753 0.753 0.253
Cl: 0.500 0.500 0.500

---

This record from Alexandria describes a relaxed LaMg2Cl crystal. The functional is GGA-PBE.

Summary:
Its formation energy without anion corrections is -556 meV/atom. Its energy is -12.2 eV/f.u. For the energy above the most stable polymorph in this dataset, the calculation gives 55 meV per atom.

abc: 3.419 6.617 4.902
angles: 90.00 91.88 90.00
Atoms (fractional coordinates):
La: 0.000 0.000 0.000
Mg: 0.262 0.500 0.758
Mg: 0.738 0.500 0.242
Cl: 0.500 0.000 0.500

---

This record from Alexandria describes a relaxed LaMg4Cl crystal. The functional is GGA-PBE.

Summary:
Its formation energy without anion corrections is -75 meV/atom. Its energy is -13.6 eV/f.u.

abc: 6.173 6.173 6.173
angles: 60.00 60.00 60.00
Atoms (fractional coordinates):
La: 0.000 0.000 0.000
Mg: 0.122 0.626 0.626
Mg: 0.626 0.122 0.626
Mg: 0.626 0.626 0.122
Mg: 0.626 0.626 0.626
Cl: 0.250 0.250 0.250

---

This record from Alexandria describes a relaxed La2MgCl crystal. The functional is GGA-PBE.

Summary:
Its formation energy without anion corrections is -256 meV/atom. Its energy is -14.3 eV/f.u. For the energy above the most stable polymorph in this dataset, the calculation gives 471 meV per atom.

abc: 9.360 9.360 9.360
angles: 142.06 142.06 54.74
Atoms (fractional coordinates):
La: 0.066 0.625 0.941
La: 0.375 0.316 0.441
La: 0.684 0.125 0.059
La: 0.875 0.934 0.559
Mg: 0.250 0.750 0.500
Mg: 0.500 0.500 0.000
Cl: 0.000 0.000 0.000
Cl: 0.750 0.250 0.500

---

This record from Alexandria describes a relaxed La2Mg2Cl crystal. The functional is GGA-PBE.

Summary:
Its formation energy without anion corrections is -507 meV/atom. Its energy is -17.4 eV/f.u.

abc: 7.653 7.653 5.574
angles: 90.00 90.00 90.00
Atoms (fractional coordinates):
La: 0.156 0.344 0.000
La: 0.344 0.844 0.000
La: 0.656 0.156 0.000
La: 0.844 0.656 0.000
Mg: 0.140 0.640 0.500
Mg: 0.360 0.140 0.500
Mg: 0.640 0.860 0.500
Mg: 0.860 0.360 0.500
Cl: 0.000 0.000 0.000
Cl: 0.500 0.500 0.000

---

This record from Alexandria describes a relaxed La2MgCl crystal. The functional is GGA-PBE.

Summary:
Its formation energy without anion corrections is -725 meV/atom. Its energy is -16.2 eV/f.u. For the energy above the most stable polymorph in this dataset, the calculation gives 2 meV per atom.

abc: 5.825 5.825 3.693
angles: 90.00 90.00 90.00
Atoms (fractional coordinates):
La: 0.000 0.500 0.000
La: 0.500 0.000 0.000
Mg: 0.000 0.000 0.500
Cl: 0.500 0.500 0.000

---

This record from Alexandria describes a relaxed La3MgCl crystal. The functional is GGA-PBE.

Summary:
Its formation energy without anion corrections is -547 meV/atom. Its energy is -21.0 eV/f.u. For the energy above the most stable polymorph in this dataset, the calculation gives 0 meV per atom.

abc: 5.518 5.518 5.518
angles: 90.00 90.00 90.00
Atoms (fractional coordinates):
La: 0.000 0.000 0.500
La: 0.000 0.500 0.000
La: 0.500 0.000 0.000
Mg: 0.500 0.500 0.500
Cl: 0.000 0.000 0.000

---

Theoretical density per entry: 3.38; 2.77; 2.85; 2.47; 6.23; 2.54; 4.10; 3.46; 3.08; 4.52; 4.16; 3.12; 3.46; 3.51; 4.53; 3.22; 3.24; 4.47; 3.13; 3.51; 3.34; 2.71; 3.64; 3.68; 4.47; 4.71 Mg/m³
DOS(E_F) per entry: 9.61; 0.00; 0.00; 0.00; 5.05; 0.00; 2.52; 0.00; 0.00; 6.74; 5.04; 3.10; 3.25; 2.16; 6.43; 3.09; 4.09; 5.27; 2.67; 3.12; 2.87; 5.44; 7.62; 7.02; 3.17; 4.16 states/eV/f.u.